Compound: Zr2BeBr
Source: the Alexandria database
Functional: PBE-GGA
Structure: relaxed

abc: 4.7846 4.7846 4.7846
angles: 60.00 60.00 60.00
With the nearest neighbours (Å) after each atom.
Fractional coordinates of all 4 atoms:
Br: 0.2500 0.2500 0.2500  4 Zr 2.93, 4 Be 2.93
Be: 0.5000 0.5000 0.5000  4 Br 2.93, 4 Zr 2.93
Zr: 0.0000 0.0000 0.0000  4 Br 2.93, 4 Zr 2.93
Zr: 0.7500 0.7500 0.7500  4 Be 2.93, 4 Zr 2.93

Calculated values
The formation energy (no corrections) is 68.33 kJ per mole of atoms. As for the energy above the most stable polymorph in this dataset: 977.0 meV/atom.